[1]
The following is a DFT calculation (PBE-GGA) of crystalline TlGa2TeMo at its relaxed geometry.

The space group is P4/mmm (No. 123) and the conventional cell measures 5.557, 5.557 and 5.170 Å, with angles of 90.00, 90.00 and 90.00 degrees. The distinct sites, in fractional coordinates, are Tl at (0.000, 0.000, 0.000), Ga at (0.000, 0.500, 0.500), Te at (0.500, 0.500, 0.500) and Mo at (0.500, 0.500, 0.000).

For the total magnetization, the calculation gives 0.549 μB per atom. The calculation puts the raw formation energy at 995 meV per atom. Its calculated density is 5.900 g cm⁻³.

***

[2]
The following is a DFT calculation (PBE-GGA) of crystalline PmZnIr at its relaxed geometry.

The space group is P-6m2 (No. 187) and the conventional cell measures 4.3668, 4.3668 and 3.8165 Å, with angles of 90.00, 90.00 and 120.00 degrees. The distinct sites, in fractional coordinates, are Pm at (0.0000, 0.0000, 0.0000), Zn at (0.3333, 0.6667, 0.5000) and Ir at (0.6667, 0.3333, 0.5000).

For the total magnetization, the calculation gives 0.000 μB per atom. For the energy relative to the elements, the calculation gives -0.52 eV/atom. Its calculated density is 10.608 g cm⁻³.

***

[3]
The following is a DFT calculation (PBE-GGA) of crystalline CaReN2 at its relaxed geometry.

The space group is R-3m (No. 166, hexagonal axes) and the conventional cell measures 3.3122, 3.3122 and 19.3813 Å, with angles of 90.00, 90.00 and 120.00 degrees. The distinct sites, in fractional coordinates, are Ca at (0.0000, 0.0000, 0.0000), Re at (0.0000, 0.0000, 0.5000) and N at (0.0000, 0.0000, 0.4055).

For the total magnetization, the calculation gives 0.000 μB per atom. The calculation puts the raw formation energy at 154 meV per atom. Its calculated density is 6.880 g cm⁻³.

***

[4]
The following is a DFT calculation (PBE-GGA) of crystalline CsKB2H6 at its relaxed geometry.

The space group is R-3m (No. 166, hexagonal axes) and the conventional cell measures 4.8873, 4.8873 and 25.3696 Å, with angles of 90.00, 90.00 and 120.00 degrees. The distinct sites, in fractional coordinates, are Cs at (0.0000, 0.0000, 0.0000), K at (0.0000, 0.0000, 0.5000), B at (0.0000, 0.0000, 0.2478) and H at (0.0480, 0.5240, 0.9193).

For the total magnetization, the calculation gives 0.193 μB per atom. As for the final energy: -109.770 eV/cell. Its calculated density is 1.895 g cm⁻³.

***

[5]
The following is a DFT calculation (PBE-GGA) of crystalline ThNbH2 at its relaxed geometry.

The space group is R-3m (No. 166, hexagonal axes) and the conventional cell measures 3.1985, 3.1985 and 18.0891 Å, with angles of 90.00, 90.00 and 120.00 degrees. The distinct sites, in fractional coordinates, are Th at (0.0000, 0.0000, 0.0000), Nb at (0.0000, 0.0000, 0.5000) and H at (0.0000, 0.0000, 0.2178).

For the total magnetization, the calculation gives 0.000 μB per atom. As for the final energy: -73.612 eV/cell. Its calculated density is 10.163 g cm⁻³.

***

[6]
The following is a DFT calculation (PBE-GGA) of crystalline Ba2TmSe3 at its relaxed geometry.

The space group is Immm (No. 71) and the conventional cell measures 4.414, 5.376 and 17.253 Å, with angles of 90.00, 90.00 and 90.00 degrees. The distinct sites, in fractional coordinates, are Ba at (0.000, 0.000, 0.149), Tm at (0.000, 0.000, 0.500), Se at (0.000, 0.000, 0.338) and Se at (0.000, 0.500, 0.500).

For the total magnetization, the calculation gives 0.002 μB per atom. The calculation puts the raw formation energy at -1800 meV per atom. Its calculated density is 5.519 g cm⁻³.

***

[7]
The following is a DFT calculation (PBE-GGA) of crystalline RbSrTaMo2 at its relaxed geometry.

The space group is P4/mmm (No. 123) and the conventional cell measures 4.926, 4.926 and 5.017 Å, with angles of 90.00, 90.00 and 90.00 degrees. The distinct sites, in fractional coordinates, are Rb at (0.000, 0.000, 0.000), Sr at (0.500, 0.500, 0.500), Ta at (0.000, 0.000, 0.500) and Mo at (0.000, 0.500, 0.000).

For the total magnetization, the calculation gives 0.164 μB per atom. For the energy relative to the elements, the calculation gives 2.90 eV/atom. Its calculated density is 7.446 g cm⁻³.

***

[8]
The following is a DFT calculation (PBE-GGA) of crystalline Er5Tm4In at its relaxed geometry.

The space group is I4mm (No. 107) and the conventional cell measures 10.462, 10.462 and 5.716 Å, with angles of 90.00, 90.00 and 90.00 degrees. The distinct sites, in fractional coordinates, are Er at (0.000, 0.000, 0.000), Er at (0.186, 0.186, 0.287), Tm at (0.000, 0.317, 0.789) and In at (0.000, 0.000, 0.518).

For the total magnetization, the calculation gives 0.000 μB per atom. For the energy relative to the elements, the calculation gives 0.14 eV/atom. Its calculated density is 8.635 g cm⁻³.

***

[9]
The following is a DFT calculation (PBE-GGA) of crystalline ZrNbFePd at its relaxed geometry.

The space group is Cm (No. 8) and the conventional cell measures 5.596, 3.239 and 7.687 Å, with angles of 90.00, 90.02 and 90.00 degrees. The distinct sites, in fractional coordinates, are Zr at (0.000, 0.000, 0.000), Nb at (0.000, 0.000, 0.555), Fe at (0.334, 0.000, 0.757) and Pd at (0.166, 0.500, 0.280).

For the total magnetization, the calculation gives 0.000 μB per atom. For the energy relative to the elements, the calculation gives -0.07 eV/atom. Its calculated density is 8.256 g cm⁻³.

***

[10]
The following is a DFT calculation (PBE-GGA) of crystalline Be2TlSe at its relaxed geometry.

The space group is I-42d (No. 122) and the conventional cell measures 5.871, 5.871 and 9.338 Å, with angles of 90.00, 90.00 and 90.00 degrees. The distinct sites, in fractional coordinates, are Be at (0.199, 0.250, 0.125), Tl at (0.000, 0.000, 0.500) and Se at (0.000, 0.000, 0.000).

For the total magnetization, the calculation gives 0.000 μB per atom. The calculation puts the raw formation energy at 174 meV per atom. Its calculated density is 6.219 g cm⁻³.